VASP calculation (PBE) on a geometry-optimized Sr2ZnIr structure.

Cell: 4.2887 4.4694 13.0457 Å, 90.00 90.00 90.00°
Last column: nearest neighbours and their distance in Å.
Space group Imm2 (No. 44)
Symmetry-distinct sites (fractional):
Sr1 0.0000 0.0000 0.0000 [2 per cell]  2 Zn 3.26, 4 Ir 3.29
Sr2 0.0000 0.5000 0.2530 [2 per cell]  2 Ir 3.07, 4 Zn 3.21
Zn1 0.0000 0.5000 0.8181 [2 per cell]  2 Ir 2.49
Ir1 0.0000 0.0000 0.4146 [2 per cell]  2 Zn 2.49

Summary:
Total DFT energy (no corrections) in eV per cell: -28.19
DOS at the Fermi energy in states/eV/cell: 4.38
Volume in A^3/atom: 31.26